The following is a PBE calculation of a relaxed Ac3Au2O crystal, from the Alexandria database.

Properties
For the energy above the most stable polymorph in this dataset, the calculation gives 0.00 eV/f.u. The energy comes out at -5.408 eV/atom. The calculation puts the raw formation energy at -1.435 eV/atom. The calculation puts the total magnetization at 0.00 μB/f.u.

Cell: 9.2828 4.3028 18.0937 Å, 90.00 90.00 90.00°
With the nearest neighbours (Å) after each atom.
Fractional positions:
1 Ac 0.0027 0.2500 0.1035  2 O 2.48
2 Ac 0.1377 0.7500 0.4256  1 O 2.48
3 Ac 0.1754 0.2500 0.7323  1 O 2.52
4 Ac 0.3246 0.7500 0.2323  1 O 2.52
5 Ac 0.3623 0.2500 0.9256  1 O 2.48
6 Ac 0.4973 0.7500 0.6035  2 O 2.48
7 Ac 0.5027 0.2500 0.3965  2 O 2.48
8 Ac 0.6377 0.7500 0.0744  1 O 2.48
9 Ac 0.6754 0.2500 0.7677  1 O 2.52
10 Ac 0.8246 0.7500 0.2677  1 O 2.52
11 Ac 0.8623 0.2500 0.5744  1 O 2.48
12 Ac 0.9973 0.7500 0.8965  2 O 2.48
13 Au 0.0849 0.2500 0.2855  7 Ac 3.24-3.38
14 Au 0.2421 0.2500 0.5458  6 Ac 3.21-3.56
15 Au 0.2579 0.7500 0.0458  6 Ac 3.21-3.56
16 Au 0.4151 0.7500 0.7855  7 Ac 3.24-3.38
17 Au 0.5849 0.2500 0.2145  7 Ac 3.24-3.38
18 Au 0.7421 0.2500 0.9542  6 Ac 3.21-3.56
19 Au 0.7579 0.7500 0.4542  6 Ac 3.21-3.56
20 Au 0.9151 0.7500 0.7145  7 Ac 3.24-3.38
21 O 0.1193 0.2500 0.8684  4 Ac 2.48-2.52
22 O 0.3807 0.7500 0.3684  4 Ac 2.48-2.52
23 O 0.6193 0.2500 0.6316  4 Ac 2.48-2.52
24 O 0.8807 0.7500 0.1316  4 Ac 2.48-2.52